Record 1
# CeCoBi

Crystalline CeCoBi at its relaxed geometry (PBE, Alexandria via LeMat-Bulk).

Results
As for the energy of formation from the pure elements: -402 meV per atom. The value obtained for the magnetization is 0.066 μB/f.u.

Cell and atoms, written as CIF:
```
data_CeCoBi
_cell_length_a 6.4333
_cell_length_b 6.6766
_cell_length_c 7.0068
_cell_angle_alpha 92.40
_cell_angle_beta 90.60
_cell_angle_gamma 97.84
_symmetry_space_group_name_H-M 'P 1'
_symmetry_Int_Tables_number 1
loop_
_symmetry_equiv_pos_as_xyz
'x,y,z'
loop_
_atom_site_label
_atom_site_fract_x
_atom_site_fract_y
_atom_site_fract_z
_atom_site_occupancy
Ce1 0.1981 0.2415 0.0575 1
Ce2 0.2973 0.7780 0.5346 1
Ce3 0.7027 0.2220 0.4654 1
Ce4 0.8019 0.7585 0.9425 1
Co1 0.0622 0.0312 0.2590 1
Co2 0.3520 0.9989 0.7662 1
Co3 0.6480 0.0011 0.2338 1
Co4 0.9378 0.9688 0.7410 1
Bi1 0.2138 0.2877 0.5573 1
Bi2 0.2940 0.7552 0.0648 1
Bi3 0.7060 0.2448 0.9352 1
Bi4 0.7862 0.7123 0.4427 1
```

Record 2
# La3DyBi2

Crystalline La3DyBi2 at its relaxed geometry (PBE, Alexandria via LeMat-Bulk).

Results
As for the energy of formation from the pure elements: -686 meV per atom. The value obtained for the magnetization is 0.000 μB/f.u.

Cell and atoms, written as CIF:
```
data_La3DyBi2
_cell_length_a 4.7189
_cell_length_b 4.7189
_cell_length_c 9.1371
_cell_angle_alpha 90.00
_cell_angle_beta 90.00
_cell_angle_gamma 90.00
_symmetry_space_group_name_H-M 'P 1'
_symmetry_Int_Tables_number 1
loop_
_symmetry_equiv_pos_as_xyz
'x,y,z'
loop_
_atom_site_label
_atom_site_fract_x
_atom_site_fract_y
_atom_site_fract_z
_atom_site_occupancy
La1 0.0000 0.0000 0.0000 1
La2 0.0000 0.5000 0.6479 1
La3 0.5000 0.0000 0.3521 1
Dy1 0.5000 0.5000 0.0000 1
Bi1 0.0000 0.5000 0.2764 1
Bi2 0.5000 0.0000 0.7236 1
```

Record 3
# Y3In7Pd4

Crystalline Y3In7Pd4 at its relaxed geometry (PBE, Alexandria via LeMat-Bulk).

Results
As for the energy of formation from the pure elements: -600 meV per atom. The value obtained for the magnetization is 0.000 μB/f.u.

Cell and atoms, written as CIF:
```
data_Y3In7Pd4
_cell_length_a 8.6834
_cell_length_b 8.6834
_cell_length_c 10.2814
_cell_angle_alpha 123.68
_cell_angle_beta 123.68
_cell_angle_gamma 29.45
_symmetry_space_group_name_H-M 'P 1'
_symmetry_Int_Tables_number 1
loop_
_symmetry_equiv_pos_as_xyz
'x,y,z'
loop_
_atom_site_label
_atom_site_fract_x
_atom_site_fract_y
_atom_site_fract_z
_atom_site_occupancy
Y1 0.0000 0.0000 0.0000 1
Y2 0.3067 0.3067 0.2985 1
Y3 0.6933 0.6933 0.7015 1
In1 0.0000 0.0000 0.5000 1
In2 0.1622 0.1622 0.4285 1
In3 0.3175 0.3175 0.9728 1
In4 0.4934 0.4934 0.7115 1
In5 0.5066 0.5066 0.2885 1
In6 0.6825 0.6825 0.0272 1
In7 0.8378 0.8378 0.5715 1
Pd1 0.1183 0.1183 0.8334 1
Pd2 0.3394 0.3394 0.7348 1
Pd3 0.6606 0.6606 0.2652 1
Pd4 0.8817 0.8817 0.1666 1
```

Record 4
# Sc2Ga5Au3

Crystalline Sc2Ga5Au3 at its relaxed geometry (PBE, Alexandria via LeMat-Bulk).

Results
As for the energy of formation from the pure elements: -511 meV per atom. The value obtained for the magnetization is 0.000 μB/f.u.

Cell and atoms, written as CIF:
```
data_Sc2Ga5Au3
_cell_length_a 12.5535
_cell_length_b 12.5535
_cell_length_c 6.9448
_cell_angle_alpha 90.00
_cell_angle_beta 90.00
_cell_angle_gamma 160.36
_symmetry_space_group_name_H-M 'P 1'
_symmetry_Int_Tables_number 1
loop_
_symmetry_equiv_pos_as_xyz
'x,y,z'
loop_
_atom_site_label
_atom_site_fract_x
_atom_site_fract_y
_atom_site_fract_z
_atom_site_occupancy
Sc1 0.0178 0.9822 0.5000 1
Sc2 0.3265 0.6735 0.5163 1
Sc3 0.6735 0.3265 0.0163 1
Sc4 0.9822 0.0178 0.0000 1
Ga1 0.1036 0.8964 0.8529 1
Ga2 0.2056 0.7944 0.7400 1
Ga3 0.2075 0.7925 0.3171 1
Ga4 0.3839 0.6161 0.9853 1
Ga5 0.4509 0.5491 0.6644 1
Ga6 0.5491 0.4509 0.1644 1
Ga7 0.6161 0.3839 0.4853 1
Ga8 0.7925 0.2075 0.8171 1
Ga9 0.7944 0.2056 0.2400 1
Ga10 0.8964 0.1036 0.3529 1
Au1 0.1063 0.8937 0.2388 1
Au2 0.2774 0.7226 0.0298 1
Au3 0.4502 0.5498 0.2808 1
Au4 0.5498 0.4502 0.7808 1
Au5 0.7226 0.2774 0.5298 1
Au6 0.8937 0.1063 0.7388 1
```

Record 5
# KNbTeO5

Crystalline KNbTeO5 at its relaxed geometry (PBE, Alexandria via LeMat-Bulk).

Results
The value obtained for the magnetization is 0.000 μB/f.u. The uncorrected energy comes out at -6.657 eV per atom.

Cell and atoms, written as CIF:
```
data_KNbTeO5
_cell_length_a 6.1234
_cell_length_b 6.1234
_cell_length_c 8.0561
_cell_angle_alpha 106.66
_cell_angle_beta 106.66
_cell_angle_gamma 103.10
_symmetry_space_group_name_H-M 'P 1'
_symmetry_Int_Tables_number 1
loop_
_symmetry_equiv_pos_as_xyz
'x,y,z'
loop_
_atom_site_label
_atom_site_fract_x
_atom_site_fract_y
_atom_site_fract_z
_atom_site_occupancy
K1 0.0732 0.9268 0.7500 1
K2 0.9268 0.0732 0.2500 1
Nb1 0.0000 0.5000 0.0000 1
Nb2 0.5000 0.0000 0.5000 1
Te1 0.4607 0.5393 0.7500 1
Te2 0.5393 0.4607 0.2500 1
O1 0.1704 0.2752 0.0617 1
O2 0.2383 0.7617 0.2500 1
O3 0.2462 0.6066 0.8810 1
O4 0.2752 0.1704 0.5617 1
O5 0.3934 0.7538 0.6190 1
O6 0.6066 0.2462 0.3810 1
O7 0.7248 0.8296 0.4383 1
O8 0.7538 0.3934 0.1190 1
O9 0.7617 0.2383 0.7500 1
O10 0.8296 0.7248 0.9383 1
```

Record 6
# Hg2SbAu

Crystalline Hg2SbAu at its relaxed geometry (PBE, Alexandria via LeMat-Bulk).

Results
The value obtained for the magnetization is 0.000 μB/f.u. The uncorrected energy comes out at -1.954 eV per atom.

Cell and atoms, written as CIF:
```
data_Hg2SbAu
_cell_length_a 4.5074
_cell_length_b 3.7605
_cell_length_c 6.0217
_cell_angle_alpha 90.00
_cell_angle_beta 90.99
_cell_angle_gamma 90.00
_symmetry_space_group_name_H-M 'P 1'
_symmetry_Int_Tables_number 1
loop_
_symmetry_equiv_pos_as_xyz
'x,y,z'
loop_
_atom_site_label
_atom_site_fract_x
_atom_site_fract_y
_atom_site_fract_z
_atom_site_occupancy
Hg1 0.0000 0.0000 0.0000 1
Hg2 0.5000 0.5000 0.0000 1
Sb1 0.0000 0.0000 0.5000 1
Au1 0.5000 0.5000 0.5000 1
```

Record 7
# Y2TiOs2

Crystalline Y2TiOs2 at its relaxed geometry (PBE, Alexandria via LeMat-Bulk).

Results
As for the energy of formation from the pure elements: 651 meV per atom. The value obtained for the magnetization is 0.902 μB/f.u.

Cell and atoms, written as CIF:
```
data_Y2TiOs2
_cell_length_a 6.7724
_cell_length_b 6.7724
_cell_length_c 6.7724
_cell_angle_alpha 142.46
_cell_angle_beta 142.46
_cell_angle_gamma 54.13
_symmetry_space_group_name_H-M 'P 1'
_symmetry_Int_Tables_number 1
loop_
_symmetry_equiv_pos_as_xyz
'x,y,z'
loop_
_atom_site_label
_atom_site_fract_x
_atom_site_fract_y
_atom_site_fract_z
_atom_site_occupancy
Y1 0.2500 0.7500 0.5000 1
Y2 0.7500 0.2500 0.5000 1
Ti1 0.0000 0.0000 0.0000 1
Os1 0.4027 0.4027 0.0000 1
Os2 0.5973 0.5973 0.0000 1
```

Record 8
# CaPr4Sm6

Crystalline CaPr4Sm6 at its relaxed geometry (PBE, Alexandria via LeMat-Bulk).

Results
As for the energy of formation from the pure elements: 344 meV per atom. The value obtained for the magnetization is 0.000 μB/f.u.

Cell and atoms, written as CIF:
```
data_CaPr4Sm6
_cell_length_a 8.7149
_cell_length_b 8.7149
_cell_length_c 8.7149
_cell_angle_alpha 126.06
_cell_angle_beta 126.06
_cell_angle_gamma 79.79
_symmetry_space_group_name_H-M 'P 1'
_symmetry_Int_Tables_number 1
loop_
_symmetry_equiv_pos_as_xyz
'x,y,z'
loop_
_atom_site_label
_atom_site_fract_x
_atom_site_fract_y
_atom_site_fract_z
_atom_site_occupancy
Ca1 0.0000 0.0000 0.0000 1
Pr1 0.0555 0.0555 0.4926 1
Pr2 0.4371 0.9445 0.0000 1
Pr3 0.5629 0.5629 0.5074 1
Pr4 0.9445 0.4371 0.0000 1
Sm1 0.0000 0.5000 0.5000 1
Sm2 0.2594 0.5879 0.0000 1
Sm3 0.4121 0.4121 0.6715 1
Sm4 0.5000 0.0000 0.5000 1
Sm5 0.5879 0.2594 0.0000 1
Sm6 0.7406 0.7406 0.3285 1
```